# 1
PBE Nd2AlCo, optimized geometry; M_tot = 0.688 Bohr magnetons per cell; crystal system = tetragonal; volume = 23.60 A^3/atom; formation enthalpy at 0 K = -0.13 eV per atom; uncorrected energy = -20.91 eV/cell; SG = P4/mmm
1.0
3.5737 0.0000 0.0000
0.0000 3.5737 0.0000
0.0000 0.0000 7.3928
Nd Al Co
2 1 1
Direct
0.0000 0.0000 0.2282
0.0000 0.0000 0.7718
0.5000 0.5000 0.5000
0.5000 0.5000 0.0000


# 2
PBE Nd3AlCo, optimized geometry; M_tot = 0.001 Bohr magnetons per cell; crystal system = monoclinic; volume = 26.69 A^3/atom; formation enthalpy at 0 K = -0.13 eV per atom; uncorrected energy = -51.60 eV/cell; SG = Cm
1.0
7.9186 -1.9063 0.0000
7.9186 1.9063 0.0000
-0.4076 0.0000 8.8398
Nd Al Co
6 2 2
Direct
0.0000 0.0000 0.0000
0.1523 0.1523 0.3569
0.3612 0.3612 0.2461
0.5139 0.5139 0.6042
0.7022 0.7022 0.0209
0.8117 0.8117 0.5822
0.1720 0.1720 0.7339
0.3421 0.3421 0.8694
0.5372 0.5372 0.2472
0.9758 0.9758 0.3581


# 3
PBE NdAlCo, optimized geometry; M_tot = 0.000 Bohr magnetons per cell; crystal system = hexagonal; volume = 20.70 A^3/atom; formation enthalpy at 0 K = -0.23 eV per atom; uncorrected energy = -16.30 eV/cell; SG = P-6m2
1.0
4.2109 0.0000 0.0000
-2.1055 3.6468 0.0000
0.0000 0.0000 4.0434
Nd Al Co
1 1 1
Direct
0.0000 0.0000 0.0000
0.6667 0.3333 0.5000
0.3333 0.6667 0.5000


# 4
PBE Nd12AlCo5, optimized geometry; M_tot = 0.000 Bohr magnetons per cell; crystal system = orthorhombic; volume = 26.80 A^3/atom; formation enthalpy at 0 K = -0.10 eV per atom; uncorrected energy = -98.30 eV/cell; SG = Immm
1.0
-4.8739 4.9241 5.0254
4.8739 -4.9241 5.0254
4.8739 4.9241 -5.0254
Nd Al Co
12 1 5
Direct
0.0127 0.2023 0.8105
0.1865 0.2997 0.4862
0.1865 0.7003 0.8868
0.3175 0.0130 0.6955
0.3175 0.6219 0.3045
0.3918 0.2023 0.1895
0.6082 0.7977 0.8105
0.6825 0.3781 0.6955
0.6825 0.9870 0.3045
0.8135 0.2997 0.1132
0.8135 0.7003 0.5138
0.9873 0.7977 0.1895
0.5000 0.5000 0.0000
0.0000 0.0000 0.0000
0.1125 0.6125 0.5000
0.3797 0.0000 0.3797
0.6203 0.0000 0.6203
0.8875 0.3875 0.5000


# 5
PBE NdAl3Co2, optimized geometry; M_tot = 0.000 Bohr magnetons per cell; crystal system = orthorhombic; volume = 16.65 A^3/atom; formation enthalpy at 0 K = -0.50 eV per atom; uncorrected energy = -66.36 eV/cell; SG = Cmcm
1.0
4.9371 -3.8582 0.0000
4.9371 3.8582 0.0000
0.0000 0.0000 5.2441
Nd Al Co
2 6 4
Direct
0.1498 0.8502 0.7500
0.8502 0.1498 0.2500
0.0272 0.5824 0.2500
0.4176 0.9728 0.2500
0.4500 0.5500 0.2500
0.5500 0.4500 0.7500
0.5824 0.0272 0.7500
0.9728 0.4176 0.7500
0.2963 0.2963 0.0000
0.2963 0.2963 0.5000
0.7037 0.7037 0.0000
0.7037 0.7037 0.5000


# 6
PBE Nd4AlCo, optimized geometry; M_tot = 0.001 Bohr magnetons per cell; crystal system = monoclinic; volume = 28.06 A^3/atom; formation enthalpy at 0 K = -0.11 eV per atom; uncorrected energy = -61.16 eV/cell; SG = C2/c
1.0
4.3991 -7.0237 0.0000
4.3991 7.0237 0.0000
-2.6428 0.0000 5.4493
Nd Al Co
8 2 2
Direct
0.0665 0.6985 0.9204
0.2084 0.3405 0.6616
0.3015 0.9335 0.5796
0.3405 0.2084 0.1616
0.6595 0.7916 0.8384
0.6985 0.0665 0.4204
0.7916 0.6595 0.3384
0.9335 0.3015 0.0796
0.3765 0.6235 0.2500
0.6235 0.3765 0.7500
0.0010 0.9990 0.7500
0.9990 0.0010 0.2500


# 7
PBE Nd3AlCo3, optimized geometry; M_tot = 0.014 Bohr magnetons per cell; crystal system = orthorhombic; volume = 20.39 A^3/atom; formation enthalpy at 0 K = -0.20 eV per atom; uncorrected energy = -81.57 eV/cell; SG = Cmcm
1.0
2.0477 -5.1966 0.0000
2.0477 5.1966 0.0000
0.0000 0.0000 13.4143
Nd Al Co
6 2 6
Direct
0.9999 0.0001 0.2500
0.0001 0.9999 0.7500
0.2871 0.7129 0.6049
0.2871 0.7129 0.8951
0.7129 0.2871 0.1049
0.7129 0.2871 0.3951
0.0000 0.0000 0.0000
0.0000 0.0000 0.5000
0.3094 0.6906 0.2500
0.4230 0.5770 0.0915
0.4230 0.5770 0.4085
0.5770 0.4230 0.5915
0.5770 0.4230 0.9085
0.6906 0.3094 0.7500


# 8
PBE Nd3AlCo, optimized geometry; M_tot = 0.000 Bohr magnetons per cell; crystal system = cubic; volume = 28.78 A^3/atom; formation enthalpy at 0 K = 0.00 eV per atom; uncorrected energy = -25.15 eV/cell; SG = Pm-3m
1.0
5.2403 0.0000 0.0000
0.0000 5.2403 0.0000
0.0000 0.0000 5.2403
Nd Al Co
3 1 1
Direct
0.0000 0.0000 0.5000
0.0000 0.5000 0.0000
0.5000 0.0000 0.0000
0.5000 0.5000 0.5000
0.0000 0.0000 0.0000


# 9
PBE NdAl3Co, optimized geometry; M_tot = 0.005 Bohr magnetons per cell; crystal system = cubic; volume = 18.88 A^3/atom; formation enthalpy at 0 K = -0.41 eV per atom; uncorrected energy = -25.13 eV/cell; SG = Pm-3m
1.0
4.5533 0.0000 0.0000
0.0000 4.5533 0.0000
0.0000 0.0000 4.5533
Nd Al Co
1 3 1
Direct
0.0000 0.0000 0.0000
0.0000 0.5000 0.5000
0.5000 0.0000 0.5000
0.5000 0.5000 0.0000
0.5000 0.5000 0.5000


# 10
PBE Nd6AlCo2, optimized geometry; M_tot = 0.000 Bohr magnetons per cell; crystal system = orthorhombic; volume = 27.06 A^3/atom; formation enthalpy at 0 K = -0.14 eV per atom; uncorrected energy = -95.62 eV/cell; SG = Immm
1.0
-4.7850 4.9644 5.1268
4.7850 -4.9644 5.1268
4.7850 4.9644 -5.1268
Nd Al Co
12 2 4
Direct
0.0413 0.2380 0.8033
0.1814 0.2831 0.4646
0.1814 0.7169 0.8983
0.3243 0.0100 0.6857
0.3243 0.6386 0.3143
0.4346 0.2380 0.1967
0.5654 0.7620 0.8033
0.6757 0.3614 0.6857
0.6757 0.9900 0.3143
0.8186 0.2831 0.1017
0.8186 0.7169 0.5354
0.9587 0.7620 0.1967
0.0000 0.0000 0.0000
0.5000 0.5000 0.0000
0.1118 0.6118 0.5000
0.3195 0.0000 0.3195
0.6805 0.0000 0.6805
0.8882 0.3882 0.5000


# 11
PBE Nd4AlCo, optimized geometry; M_tot = 0.000 Bohr magnetons per cell; crystal system = monoclinic; volume = 28.30 A^3/atom; formation enthalpy at 0 K = -0.11 eV per atom; uncorrected energy = -61.15 eV/cell; SG = P2_1/m
1.0
5.9588 0.0000 0.0000
0.0000 6.9899 0.0000
-0.9131 0.0000 8.1542
Nd Al Co
8 2 2
Direct
0.1107 0.2500 0.0752
0.1692 0.7500 0.3788
0.3824 0.5052 0.7788
0.3824 0.9948 0.7788
0.6176 0.0052 0.2212
0.6176 0.4948 0.2212
0.8308 0.2500 0.6212
0.8893 0.7500 0.9248
0.2887 0.2500 0.4446
0.7113 0.7500 0.5554
0.3232 0.7500 0.0598
0.6768 0.2500 0.9402


# 12
PBE NdAl12Co4, optimized geometry; M_tot = 1.304 Bohr magnetons per cell; crystal system = cubic; volume = 21.19 A^3/atom; formation enthalpy at 0 K = -0.15 eV per atom; uncorrected energy = -80.67 eV/cell; SG = Im-3m
1.0
-4.4827 4.4827 4.4827
4.4827 -4.4827 4.4827
4.4827 4.4827 -4.4827
Nd Al Co
1 12 4
Direct
0.0000 0.0000 0.0000
0.0000 0.2597 0.7403
0.0000 0.7403 0.2597
0.2597 0.0000 0.7403
0.2597 0.2597 0.5194
0.2597 0.5194 0.2597
0.2597 0.7403 0.0000
0.4806 0.7403 0.7403
0.5194 0.2597 0.2597
0.7403 0.0000 0.2597
0.7403 0.2597 0.0000
0.7403 0.4806 0.7403
0.7403 0.7403 0.4806
0.0000 0.0000 0.5000
0.0000 0.5000 0.0000
0.5000 0.0000 0.0000
0.5000 0.5000 0.5000